## LiNiO (GGA+U)

Data for a relaxed structure of LiNiO.

abc: 2.876 2.876 3.718
angles: 90.00 90.00 90.00
Space group P4/mmm (No. 123)
Asymmetric unit:
Li1 0.000 0.000 0.000 (multiplicity 1)
Ni1 0.500 0.500 0.500 (multiplicity 1)
O1 0.500 0.500 0.000 (multiplicity 1)

Computed properties:
**Final energy**: -3.97 eV per atom
**Spin magnetization**: 1.0 μB per cell